## 1
Density functional theory data (PBE) for a relaxed structure of KSi2Au.

```
KSi2Au
1.0
0.0000 3.4552 3.4552
3.4552 0.0000 3.4552
3.4552 3.4552 0.0000
K Si Au
1 2 1
Direct
0.0000 0.0000 0.0000
0.5000 0.5000 0.5000
0.7500 0.7500 0.7500
0.2500 0.2500 0.2500
```


## 2
Density functional theory data (PBE) for a relaxed structure of KSi2Au.

```
KSi2Au
1.0
3.3333 0.0000 0.0000
0.0000 3.3333 0.0000
0.0000 0.0000 7.7427
K Si Au
1 2 1
Direct
0.0000 0.0000 0.0000
0.0000 0.0000 0.4812
0.5000 0.5000 0.3268
0.5000 0.5000 0.6670
```


## 3
Density functional theory data (PBE) for a relaxed structure of KSi2Au.

```
KSi2Au
1.0
-1.4240 2.9912 5.1941
1.4240 -2.9912 5.1941
1.4240 2.9912 -5.1941
K Si Au
1 2 1
Direct
0.0000 0.0000 0.0000
0.2894 0.7894 0.5000
0.7106 0.2106 0.5000
0.5000 0.5000 0.0000
```


Quick one: most stable of them? 2